[1]
## ZrNb3C (PBE)

Data for crystalline ZrNb3C at its relaxed geometry.

Cell and atoms, written as POSCAR:
```
ZrNb3C
1.0
-2.2417 -1.7791 -3.3530
1.0509 -4.0328 1.4372
-3.6474 -0.0685 2.4749
Zr C Nb
1 1 3
Cartesian
-2.4191 -2.9402 0.2795
0.0000 0.0000 0.0000
-1.1209 -0.8896 -1.6765
0.5255 -2.0164 0.7186
-1.8237 -0.0343 1.2375
```

Calculated formation energy = -0.14 eV per atom
Space group = Pm-3m (221)
Energy relative to the lowest polymorph listed for this composition = 0.0000 eV/atom


[2]
## Zr2NbC2 (PBE)

Data for crystalline Zr2NbC2 at its relaxed geometry.

Cell and atoms, written as POSCAR:
```
Zr2NbC2
1.0
-2.9625 0.7999 -3.6349
-1.3600 -4.5421 3.2216
-2.0921 5.4224 2.8985
C Nb Zr
4 2 4
Cartesian
-2.1852 1.7806 2.1726
-3.3296 -2.8313 2.0904
-3.0725 4.4998 0.3812
-4.2168 -0.1121 0.2990
-3.8535 2.0332 3.5878
-2.5485 -0.3647 -1.1162
-4.7712 -2.2788 0.2742
-3.6535 2.1781 0.3440
-2.7485 -0.5096 2.1276
-1.6308 3.9473 2.1975
```

Calculated formation energy = -0.61 eV per atom
Space group = C2/m (12)


[3]
## ZrNbC (PBE)

Data for crystalline ZrNbC at its relaxed geometry.

Cell and atoms, written as POSCAR:
```
ZrNbC
1.0
-0.3113 -0.5576 -5.1646
-2.6666 -1.7766 0.3525
-0.2264 3.1984 -0.3317
Zr Nb C
1 1 1
Cartesian
-2.0859 -0.5351 -3.7363
-1.1148 1.4058 -1.3477
-0.0036 -0.0064 -0.0597
```

Calculated formation energy = -0.48 eV per atom
Space group = P3m1 (156)
Energy relative to the lowest polymorph listed for this composition = 0.0000 eV/atom


[4]
## Zr5NbC6 (PBE)

Data for crystalline Zr5NbC6 at its relaxed geometry.

Cell and atoms, written as POSCAR:
```
Zr5NbC6
1.0
-5.1390 -1.9579 1.6309
0.6811 -4.5808 3.3881
0.4747 0.6751 5.6767
Zr Nb C
5 1 6
Cartesian
-2.1396 -1.2935 5.1631
0.7705 -2.6029 6.0444
-2.2290 -3.2694 2.5095
-1.8437 -4.5701 5.5326
0.3852 -1.3028 3.0203
0.0000 0.0000 0.0000
-0.3166 -4.2333 7.3298
-3.6667 -1.6302 3.3659
-3.3589 -4.9344 3.7873
-3.2799 -2.8970 6.4346
-1.0990 -1.6044 1.2317
-0.7034 -2.9665 4.2611
```

Calculated formation energy = -0.77 eV per atom
Space group = C2/m (12)


[5]
## ZrNb5C5 (PBE)

Data for crystalline ZrNb5C5 at its relaxed geometry.

Cell and atoms, written as POSCAR:
```
ZrNb5C5
1.0
-2.3662 -0.9430 3.7753
-3.1272 0.9946 -4.4585
1.8463 -6.0869 -0.3633
C Nb Zr
5 5 1
Cartesian
-2.8271 -4.1426 -0.0598
-1.1831 -0.4715 1.8876
-0.8200 -1.8928 -0.9868
-3.7119 -1.1552 0.1319
0.0648 -4.8802 -1.1784
-1.5696 -3.7259 -1.9145
-2.0775 -2.3095 0.8679
0.9232 -3.0435 -0.1816
-1.1060 -5.4097 0.7025
-2.5411 -0.6257 -1.7490
0.0000 0.0000 0.0000
```

Calculated formation energy = -0.57 eV per atom
Space group = C2/m (12)


[6]
## Zr3NbC4 (PBE)

Data for crystalline Zr3NbC4 at its relaxed geometry.

Cell and atoms, written as POSCAR:
```
Zr3NbC4
1.0
3.3031 0.0000 0.0000
0.0000 5.3996 -1.8455
0.0000 -0.0490 5.7060
C Zr Nb
4 3 1
Cartesian
0.0000 1.2960 0.9351
0.0000 4.0546 2.9255
1.6515 1.2887 3.8520
1.6515 4.0619 0.0085
0.0000 -0.0245 2.8530
0.0000 2.6998 -0.9227
1.6515 2.6753 1.9303
1.6515 0.0000 0.0000
```

Calculated formation energy = -0.74 eV per atom
Space group = Cmmm (65)
Energy relative to the lowest polymorph listed for this composition = 0.0000 eV/atom


[7]
## NdC3 (PBE)

Data for crystalline NdC3 at its relaxed geometry.

Cell and atoms, written as POSCAR:
```
NdC3
1.0
5.4795 0.0000 0.0000
0.0000 4.4711 -2.4349
0.0000 -0.1276 5.0896
C Nd
6 2
Cartesian
4.1096 3.2641 -0.4600
1.3699 1.0794 3.1147
4.1096 3.1730 3.1712
4.1096 0.0742 1.2773
1.3699 1.1706 -0.5165
1.3699 4.2693 1.3773
4.1096 0.6376 3.8375
1.3699 3.7059 -1.1829
```

Calculated formation energy = 0.65 eV per atom
Space group = P6_3/mmc (194)
Energy relative to the lowest polymorph listed for this composition = 0.1071 eV/atom


[8]
## Nd4C (PBE)

Data for crystalline Nd4C at its relaxed geometry.

Cell and atoms, written as POSCAR:
```
Nd4C
1.0
-2.6435 -4.1414 -1.8647
-1.7615 -1.0538 4.8377
-4.1864 3.0586 -0.8581
Nd C
4 1
Cartesian
0.0000 0.0000 0.0000
-2.9739 1.0024 1.9898
-2.2025 -2.5976 1.4865
-3.4149 -0.5414 -1.3614
-4.2957 -1.0683 1.0575
```

Calculated formation energy = 0.10 eV per atom
Space group = Pm-3m (221)


[9]
## NdC2 (PBE)

Data for crystalline NdC2 at its relaxed geometry.

Cell and atoms, written as POSCAR:
```
NdC2
1.0
-0.3880 -3.6008 1.5892
-0.8536 -2.8373 -2.6196
6.2657 -2.9017 -1.2194
C Nd
4 2
Cartesian
2.3790 -3.1020 -1.4123
2.6450 -6.2378 -0.8375
-0.6120 -4.5834 -1.3502
5.6360 -4.7564 -0.8997
3.9365 -5.1625 -2.7132
1.0876 -4.1773 0.4634
```

Calculated formation energy = -0.13 eV per atom
Space group = C2/c (15)
Energy relative to the lowest polymorph listed for this composition = 0.0000 eV/atom


[10]
## NdC3 (PBE)

Data for crystalline NdC3 at its relaxed geometry.

Cell and atoms, written as POSCAR:
```
NdC3
1.0
3.8556 0.0000 0.0000
0.0000 3.8556 0.0000
-1.9278 -1.9278 3.8512
C Nd
3 1
Cartesian
1.9278 1.9278 1.3320
1.9278 1.9278 0.0000
0.0000 0.0000 2.5192
0.0000 0.0000 0.0000
```

Calculated formation energy = 0.54 eV per atom
Space group = I4/mmm (139)
Energy relative to the lowest polymorph listed for this composition = 0.0000 eV/atom


[11]
## Nd3C (PBE)

Data for crystalline Nd3C at its relaxed geometry.

Cell and atoms, written as POSCAR:
```
Nd3C
1.0
-0.4633 -3.3849 0.2657
0.7210 -0.5827 -6.1663
5.0300 1.3299 3.6153
Nd C
3 1
Cartesian
1.3409 -1.8365 1.0407
3.7843 -0.6700 -1.9367
0.0183 -1.8944 -2.0045
0.0327 -0.0264 -0.2797
```

Calculated formation energy = 0.15 eV per atom
Space group = Imm2 (44)


[12]
## NdC (PBE)

Data for crystalline NdC at its relaxed geometry.

Cell and atoms, written as POSCAR:
```
NdC
1.0
-1.3405 2.0063 -2.9112
0.8284 -2.8561 -2.3497
-4.8025 -2.0499 0.7985
C Nd
2 2
Cartesian
-4.0333 -2.1041 -3.4494
-1.2813 -0.7956 -1.0130
-3.7475 -1.7235 -0.7546
-1.5671 -1.1762 -3.7079
```

Calculated formation energy = 0.31 eV per atom
Space group = Pmmn (59)
Energy relative to the lowest polymorph listed for this composition = 0.4583 eV/atom